Entry 1:
# Nb2ZnNi

A relaxed Nb2ZnNi crystal (PBE-GGA, the Alexandria database).

V   15.4 A^3/atom
DOS(E_F)   4.61 states/eV per cell
Space group   P4/mmm (123)
E   -6.8754 eV per atom
Formation enthalpy at 0 K   -0.077 eV per atom
Mass density   8.38 Mg/m³

CIF file:
```
data_Nb2ZnNi
_cell_length_a 3.944
_cell_length_b 3.947
_cell_length_c 3.947
_cell_angle_alpha 90.00
_cell_angle_beta 90.00
_cell_angle_gamma 90.00
_symmetry_space_group_name_H-M 'P 1'
_symmetry_Int_Tables_number 1
loop_
_symmetry_equiv_pos_as_xyz
'x,y,z'
loop_
_atom_site_label
_atom_site_fract_x
_atom_site_fract_y
_atom_site_fract_z
Nb1 0.000 0.000 0.500
Ni1 0.500 0.500 0.500
Zn1 0.500 0.000 0.000
Nb2 0.000 0.500 0.000
```

---

Entry 2:
# NbZn2Ni

A relaxed NbZn2Ni crystal (PBE-GGA, the Alexandria database).

V   14.5 A^3/atom
DOS(E_F)   7.93 states/eV per cell
Space group   I4/mmm (139)
E   -4.7366 eV per atom
Formation enthalpy at 0 K   -0.137 eV per atom
Mass density   8.09 Mg/m³

CIF file:
```
data_NbZn2Ni
_cell_length_a 3.994
_cell_length_b 3.994
_cell_length_c 7.802
_cell_angle_alpha 104.82
_cell_angle_beta 104.82
_cell_angle_gamma 90.04
_symmetry_space_group_name_H-M 'P 1'
_symmetry_Int_Tables_number 1
loop_
_symmetry_equiv_pos_as_xyz
'x,y,z'
loop_
_atom_site_label
_atom_site_fract_x
_atom_site_fract_y
_atom_site_fract_z
Zn1 0.000 0.500 0.500
Ni1 0.751 0.249 0.000
Zn2 0.862 0.862 0.224
Zn3 0.138 0.138 0.776
Ni2 0.249 0.751 0.000
Nb1 0.365 0.365 0.230
Zn4 0.500 0.000 0.500
Nb2 0.635 0.635 0.770
```

---

Entry 3:
# NbZn2Ni

A relaxed NbZn2Ni crystal (PBE-GGA, the Alexandria database).

V   14.4 A^3/atom
DOS(E_F)   4.95 states/eV per cell
Space group   P2_1/m (11)
E   -4.6819 eV per atom
Formation enthalpy at 0 K   -0.082 eV per atom
Mass density   8.15 Mg/m³

CIF file:
```
data_NbZn2Ni
_cell_length_a 4.017
_cell_length_b 4.956
_cell_length_c 6.343
_cell_angle_alpha 90.00
_cell_angle_beta 90.00
_cell_angle_gamma 114.28
_symmetry_space_group_name_H-M 'P 1'
_symmetry_Int_Tables_number 1
loop_
_symmetry_equiv_pos_as_xyz
'x,y,z'
loop_
_atom_site_label
_atom_site_fract_x
_atom_site_fract_y
_atom_site_fract_z
Zn1 0.868 0.738 0.449
Ni1 0.289 0.582 0.250
Zn2 0.132 0.262 0.949
Ni2 0.711 0.418 0.750
Zn3 0.132 0.262 0.551
Nb1 0.576 0.151 0.250
Zn4 0.868 0.738 0.051
Nb2 0.424 0.849 0.750
```

---

Entry 4:
# NbZnNi4

A relaxed NbZnNi4 crystal (PBE-GGA, the Alexandria database).

V   14.1 A^3/atom
DOS(E_F)   9.00 states/eV per cell
Space group   I4_1/a (88)
E   -5.4807 eV per atom
Formation enthalpy at 0 K   0.264 eV per atom
Mass density   7.70 Mg/m³

CIF file:
```
data_NbZnNi4
_cell_length_a 6.285
_cell_length_b 6.285
_cell_length_c 6.178
_cell_angle_alpha 120.57
_cell_angle_beta 120.57
_cell_angle_gamma 90.00
_symmetry_space_group_name_H-M 'P 1'
_symmetry_Int_Tables_number 1
loop_
_symmetry_equiv_pos_as_xyz
'x,y,z'
loop_
_atom_site_label
_atom_site_fract_x
_atom_site_fract_y
_atom_site_fract_z
Ni1 0.611 0.628 0.519
Ni2 0.342 0.860 0.981
Zn1 0.000 0.000 0.000
Ni3 0.110 0.389 0.481
Zn2 0.250 0.750 0.500
Nb1 0.500 0.500 0.000
Ni4 0.878 0.658 0.019
Nb2 0.750 0.250 0.500
Ni5 0.372 0.092 0.481
Ni6 0.908 0.890 0.519
Ni7 0.140 0.361 0.019
Ni8 0.639 0.122 0.981
```

---

Entry 5:
# NbZn2Ni2

A relaxed NbZn2Ni2 crystal (PBE-GGA, the Alexandria database).

V   14.1 A^3/atom
DOS(E_F)   3.10 states/eV per cell
Space group   Cmmm (65)
E   -4.9911 eV per atom
Formation enthalpy at 0 K   -0.155 eV per atom
Mass density   8.03 Mg/m³

CIF file:
```
data_NbZn2Ni2
_cell_length_a 2.760
_cell_length_b 2.732
_cell_length_c 9.451
_cell_angle_alpha 81.69
_cell_angle_beta 90.00
_cell_angle_gamma 90.00
_symmetry_space_group_name_H-M 'P 1'
_symmetry_Int_Tables_number 1
loop_
_symmetry_equiv_pos_as_xyz
'x,y,z'
loop_
_atom_site_label
_atom_site_fract_x
_atom_site_fract_y
_atom_site_fract_z
Zn1 0.000 0.188 0.625
Zn2 0.000 0.812 0.375
Ni1 0.500 0.601 0.798
Nb1 0.000 0.000 0.000
Ni2 0.500 0.399 0.202
```

---

Entry 6:
# NbZnNi3

A relaxed NbZnNi3 crystal (PBE-GGA, the Alexandria database).

V   18.7 A^3/atom
DOS(E_F)   5.14 states/eV per cell
Space group   Pm-3m (221)
E   -4.4903 eV per atom
Formation enthalpy at 0 K   1.247 eV per atom
Mass density   5.94 Mg/m³

CIF file:
```
data_NbZnNi3
_cell_length_a 4.538
_cell_length_b 4.538
_cell_length_c 4.538
_cell_angle_alpha 90.00
_cell_angle_beta 90.00
_cell_angle_gamma 90.00
_symmetry_space_group_name_H-M 'P 1'
_symmetry_Int_Tables_number 1
loop_
_symmetry_equiv_pos_as_xyz
'x,y,z'
loop_
_atom_site_label
_atom_site_fract_x
_atom_site_fract_y
_atom_site_fract_z
Ni1 0.000 0.500 0.000
Ni2 0.500 0.000 0.000
Nb1 0.000 0.000 0.000
Ni3 0.000 0.000 0.500
Zn1 0.500 0.500 0.500
```

---

Entry 7:
# Nb2ZnNi

A relaxed Nb2ZnNi crystal (PBE-GGA, the Alexandria database).

V   16.5 A^3/atom
DOS(E_F)   3.97 states/eV per cell
Space group   R-3m (166)
E   -6.3944 eV per atom
Formation enthalpy at 0 K   0.404 eV per atom
Mass density   7.80 Mg/m³

CIF file:
```
data_Nb2ZnNi
_cell_length_a 2.780
_cell_length_b 2.780
_cell_length_c 9.989
_cell_angle_alpha 82.00
_cell_angle_beta 82.00
_cell_angle_gamma 60.00
_symmetry_space_group_name_H-M 'P 1'
_symmetry_Int_Tables_number 1
loop_
_symmetry_equiv_pos_as_xyz
'x,y,z'
loop_
_atom_site_label
_atom_site_fract_x
_atom_site_fract_y
_atom_site_fract_z
Zn1 0.500 0.500 0.500
Nb1 0.085 0.085 0.746
Ni1 0.000 0.000 0.000
Nb2 0.915 0.915 0.254
```

---

Entry 8:
# NbZnNi2

A relaxed NbZnNi2 crystal (PBE-GGA, the Alexandria database).

V   13.3 A^3/atom
DOS(E_F)   1.72 states/eV per cell
Space group   P4/mmm (123)
E   -5.9534 eV per atom
Formation enthalpy at 0 K   -0.227 eV per atom
Mass density   8.61 Mg/m³

CIF file:
```
data_NbZnNi2
_cell_length_a 2.761
_cell_length_b 2.761
_cell_length_c 6.974
_cell_angle_alpha 90.00
_cell_angle_beta 90.00
_cell_angle_gamma 90.00
_symmetry_space_group_name_H-M 'P 1'
_symmetry_Int_Tables_number 1
loop_
_symmetry_equiv_pos_as_xyz
'x,y,z'
loop_
_atom_site_label
_atom_site_fract_x
_atom_site_fract_y
_atom_site_fract_z
Zn1 0.500 0.500 0.000
Ni1 0.000 0.000 0.230
Nb1 0.500 0.500 0.500
Ni2 0.000 0.000 0.770
```

---

Entry 9:
# NbZn2Ni2

A relaxed NbZn2Ni2 crystal (PBE-GGA, the Alexandria database).

V   14.2 A^3/atom
DOS(E_F)   3.24 states/eV per cell
Space group   I4/mmm (139)
E   -4.8221 eV per atom
Formation enthalpy at 0 K   0.014 eV per atom
Mass density   7.99 Mg/m³

CIF file:
```
data_NbZn2Ni2
_cell_length_a 3.458
_cell_length_b 3.458
_cell_length_c 6.411
_cell_angle_alpha 74.35
_cell_angle_beta 74.35
_cell_angle_gamma 90.00
_symmetry_space_group_name_H-M 'P 1'
_symmetry_Int_Tables_number 1
loop_
_symmetry_equiv_pos_as_xyz
'x,y,z'
loop_
_atom_site_label
_atom_site_fract_x
_atom_site_fract_y
_atom_site_fract_z
Ni1 0.403 0.403 0.194
Zn1 0.750 0.250 0.500
Zn2 0.250 0.750 0.500
Ni2 0.597 0.597 0.806
Nb1 0.000 0.000 0.000
```

---

Entry 10:
# NbZn3Ni12

A relaxed NbZn3Ni12 crystal (PBE-GGA, the Alexandria database).

V   11.7 A^3/atom
DOS(E_F)   15.67 states/eV per cell
Space group   P4/mmm (123)
E   -5.3770 eV per atom
Formation enthalpy at 0 K   -0.173 eV per atom
Mass density   8.81 Mg/m³

CIF file:
```
data_NbZn3Ni12
_cell_length_a 3.614
_cell_length_b 3.614
_cell_length_c 14.341
_cell_angle_alpha 90.00
_cell_angle_beta 90.00
_cell_angle_gamma 90.00
_symmetry_space_group_name_H-M 'P 1'
_symmetry_Int_Tables_number 1
loop_
_symmetry_equiv_pos_as_xyz
'x,y,z'
loop_
_atom_site_label
_atom_site_fract_x
_atom_site_fract_y
_atom_site_fract_z
Zn1 0.000 0.000 0.746
Ni1 0.500 0.500 0.747
Ni2 0.500 0.000 0.129
Nb1 0.000 0.000 0.000
Ni3 0.500 0.500 0.253
Ni4 0.500 0.000 0.871
Ni5 0.500 0.000 0.376
Ni6 0.500 0.500 0.500
Ni7 0.000 0.500 0.871
Ni8 0.500 0.000 0.624
Ni9 0.000 0.500 0.376
Zn2 0.000 0.000 0.500
Zn3 0.000 0.000 0.254
Ni10 0.000 0.500 0.624
Ni11 0.500 0.500 0.000
Ni12 0.000 0.500 0.129
```

---

Entry 11:
# Nb2ZnNi4

A relaxed Nb2ZnNi4 crystal (PBE-GGA, the Alexandria database).

V   16.1 A^3/atom
DOS(E_F)   10.10 states/eV per cell
Space group   I4/mmm (139)
E   -5.6200 eV per atom
Formation enthalpy at 0 K   0.743 eV per atom
Mass density   7.18 Mg/m³

CIF file:
```
data_Nb2ZnNi4
_cell_length_a 4.241
_cell_length_b 4.241
_cell_length_c 6.929
_cell_angle_alpha 72.18
_cell_angle_beta 72.18
_cell_angle_gamma 90.00
_symmetry_space_group_name_H-M 'P 1'
_symmetry_Int_Tables_number 1
loop_
_symmetry_equiv_pos_as_xyz
'x,y,z'
loop_
_atom_site_label
_atom_site_fract_x
_atom_site_fract_y
_atom_site_fract_z
Ni1 0.500 0.000 0.000
Ni2 0.186 0.186 0.627
Ni3 0.814 0.814 0.373
Nb1 0.628 0.628 0.744
Zn1 0.000 0.000 0.000
Ni4 0.000 0.500 0.000
Nb2 0.372 0.372 0.256
```

---

Entry 12:
# NbZn3Ni2

A relaxed NbZn3Ni2 crystal (PBE-GGA, the Alexandria database).

V   13.5 A^3/atom
DOS(E_F)   2.59 states/eV per cell
Space group   P4/mmm (123)
E   -4.4174 eV per atom
Formation enthalpy at 0 K   -0.175 eV per atom
Mass density   8.35 Mg/m³

CIF file:
```
data_NbZn3Ni2
_cell_length_a 2.884
_cell_length_b 2.884
_cell_length_c 9.724
_cell_angle_alpha 90.00
_cell_angle_beta 90.00
_cell_angle_gamma 90.00
_symmetry_space_group_name_H-M 'P 1'
_symmetry_Int_Tables_number 1
loop_
_symmetry_equiv_pos_as_xyz
'x,y,z'
loop_
_atom_site_label
_atom_site_fract_x
_atom_site_fract_y
_atom_site_fract_z
Ni1 0.500 0.500 0.148
Zn1 0.000 0.000 0.000
Zn2 0.000 0.000 0.299
Nb1 0.500 0.500 0.500
Ni2 0.500 0.500 0.852
Zn3 0.000 0.000 0.701
```